[1]
Compound: NiOsSeN2
Source: Alexandria
Functional: SCAN
Structure: single point on PBEsol structure

E_form (uncorrected)   1716 meV/atom
Magnetic moment   1.833 μB per formula unit
SG   P4/mmm

Unit cell a=3.5977 b=3.5977 c=4.7923 alpha=90.00 beta=90.00 gamma=90.00
Each line ends with the local moment (μB).
Sites, in units of the cell vectors:
1 N 0.0000 0.5000 0.0000  0.90
2 N 0.5000 0.0000 0.0000  0.90
3 Os 0.5000 0.5000 0.5000  -0.77
4 Ni 0.0000 0.0000 0.0000  0.30
5 Se 0.0000 0.0000 0.5000  0.09

[2]
Compound: CdAs
Source: Alexandria
Functional: SCAN
Structure: single point on PBEsol structure

Excess energy over the best structure of this formula in the dataset   0.380 eV per atom
DFT formation energy   0.257 eV per atom
Magnetic moment   0.006 μB per formula unit
SG   P4/mmm

Unit cell a=3.0822 b=3.0822 c=4.2668 alpha=90.00 beta=90.00 gamma=90.00
Sites, in units of the cell vectors:
1 As 0.0000 0.0000 0.0000
2 Cd 0.5000 0.5000 0.5000

[3]
Compound: SiTeBr2
Source: Alexandria
Functional: SCAN
Structure: single point on PBEsol structure

Excess energy over the best structure of this formula in the dataset   0.329 eV per atom
E_form (uncorrected)   212 meV/atom
Magnetic moment   0.000 μB per formula unit
SG   Imm2

Unit cell a=3.6854 b=4.6364 c=7.0361 alpha=109.24 beta=105.18 gamma=90.00
Sites, in units of the cell vectors:
1 Br 0.0108 0.0108 0.0217
2 Br 0.2620 0.7620 0.5241
3 Si 0.4451 0.4451 0.8902
4 Te 0.7820 0.2820 0.5641

[4]
Compound: LiAgMo3
Source: Alexandria
Functional: SCAN
Structure: single point on PBEsol structure

DFT formation energy   2.591 eV per atom
Magnetic moment   0.000 μB per formula unit
SG   Pm-3m

Unit cell a=4.7767 b=4.7767 c=4.7767 alpha=90.00 beta=90.00 gamma=90.00
Sites, in units of the cell vectors:
1 Li 0.5000 0.5000 0.5000
2 Mo 0.0000 0.0000 0.5000
3 Mo 0.0000 0.5000 0.0000
4 Mo 0.5000 0.0000 0.0000
5 Ag 0.0000 0.0000 0.0000

Q: What is the magnetic moment in the first record?
A: 1.833 μB per formula unit

Q: What is the magnetic moment in the second record?
A: 0.006 μB per formula unit

Q: Look up the magnetic moment of the fourth one.
A: 0.000 μB per formula unit